Record 1
DFT (PBE) results for Tl5AsI8 after structural relaxation.

Cell and atoms, written as POSCAR:
```
Tl5AsI8
1.0
-5.037 5.037 7.140
5.037 -5.037 7.140
5.037 5.037 -7.140
Tl As I
5 1 8
Direct
0.000 0.000 0.000
0.371 0.627 0.742
0.371 0.629 0.256
0.373 0.115 0.744
0.885 0.629 0.258
0.750 0.250 0.500
0.084 0.361 0.721
0.136 0.863 0.274
0.137 0.411 0.273
0.139 0.864 0.727
0.589 0.861 0.726
0.637 0.916 0.277
0.639 0.361 0.723
0.639 0.363 0.279
```

**ΔE_f (raw)**: -10.92 kcal/mol of atoms
**Uncorrected energy**: -35.5 eV per cell

Record 2
DFT (PBE) results for Tl3AsI after structural relaxation.

Cell and atoms, written as POSCAR:
```
Tl3AsI
1.0
8.288 0.000 0.000
0.000 4.590 0.000
-2.348 0.000 10.077
Tl As I
6 2 2
Direct
0.024 0.250 0.148
0.337 0.250 0.016
0.355 0.250 0.638
0.645 0.750 0.362
0.663 0.750 0.984
0.976 0.750 0.852
0.322 0.750 0.833
0.678 0.250 0.167
0.211 0.750 0.354
0.789 0.250 0.646
```

**Relative energy among the computed polymorphs**: 0.0000 eV/atom
**ΔE_f (raw)**: -3.73 kcal/mol of atoms
**Uncorrected energy**: -28.2 eV per cell

Record 3
DFT (PBE) results for Tl2AsI after structural relaxation.

Cell and atoms, written as POSCAR:
```
Tl2AsI
1.0
-3.879 3.879 5.616
3.879 -3.879 5.616
3.879 3.879 -5.616
Tl As I
4 2 2
Direct
0.069 0.625 0.944
0.375 0.319 0.444
0.681 0.125 0.056
0.875 0.931 0.556
0.000 0.000 0.000
0.750 0.250 0.500
0.250 0.750 0.500
0.500 0.500 0.000
```

**Relative energy among the computed polymorphs**: 0.0000 eV/atom
**ΔE_f (raw)**: -0.15 kcal/mol of atoms
**Uncorrected energy**: -21.9 eV per cell

Record 4
DFT (PBE) results for Tl2AsI after structural relaxation.

Cell and atoms, written as POSCAR:
```
Tl2AsI
1.0
0.000 3.949 3.949
3.949 0.000 3.949
3.949 3.949 0.000
Tl As I
2 1 1
Direct
0.250 0.250 0.250
0.750 0.750 0.750
0.000 0.000 0.000
0.500 0.500 0.500
```

**Relative energy among the computed polymorphs**: 0.1015 eV/atom
**ΔE_f (raw)**: 2.19 kcal/mol of atoms
**Uncorrected energy**: -10.6 eV per cell

Record 5
DFT (PBE) results for Tl2AsI6 after structural relaxation.

Cell and atoms, written as POSCAR:
```
Tl2AsI6
1.0
7.727 0.000 0.000
0.000 8.216 0.000
-7.467 0.000 11.295
Tl As I
4 2 12
Direct
0.203 0.089 0.246
0.203 0.411 0.746
0.797 0.589 0.254
0.797 0.911 0.754
0.500 0.000 0.000
0.500 0.500 0.500
0.154 0.194 0.958
0.154 0.306 0.458
0.272 0.704 0.961
0.272 0.796 0.461
0.350 0.008 0.753
0.350 0.492 0.253
0.650 0.508 0.747
0.650 0.992 0.247
0.728 0.204 0.539
0.728 0.296 0.039
0.846 0.694 0.542
0.846 0.806 0.042
```

**ΔE_f (raw)**: -7.15 kcal/mol of atoms
**Uncorrected energy**: -42.9 eV per cell

Record 6
DFT (PBE) results for Tl3AsI after structural relaxation.

Cell and atoms, written as POSCAR:
```
Tl3AsI
1.0
6.370 0.000 0.000
0.000 6.370 0.000
0.000 0.000 6.370
Tl As I
3 1 1
Direct
0.000 0.000 0.500
0.000 0.500 0.000
0.500 0.000 0.000
0.500 0.500 0.500
0.000 0.000 0.000
```

**Relative energy among the computed polymorphs**: 0.6575 eV/atom
**ΔE_f (raw)**: 11.44 kcal/mol of atoms
**Uncorrected energy**: -10.8 eV per cell